A plane-wave DFT calculation with PBE was carried out for a geometry-optimized Ga2ReTcH structure.

Output
Energy: -6.13 eV per atom

Cell: 4.2973 3.3649 4.2973 Å, 90.00 90.00 90.00°
With the nearest neighbours (Å) after each atom.
Fractional coordinates of all 5 atoms:
H1 0.0000 0.0000 0.0000  2 Re 1.68
Ga1 0.5000 0.0000 0.0000  2 H 2.15
Ga2 0.0000 0.0000 0.5000  2 H 2.15
Re1 0.0000 0.5000 0.0000  2 H 1.68
Tc1 0.5000 0.5000 0.5000  8 Ga 2.73, 4 Re 3.04